Compound: AlZn12Ag6
Source: Alexandria
Functional: PBE
Structure: relaxed

Values from the calculation:
Calculated volume in Å³/atom: 16.130
SG: R-3
Total magnetic moment in μB per cell: 0.000
Calculated formation energy in kJ/mol of formula units: -2
N(E_F) in states/eV/f.u.: 5.3

```
AlZn12Ag6
1.0
5.391 3.113 3.044
-5.391 3.113 3.044
0.000 -6.225 3.044
Al Zn Ag
1 12 6
Direct
0.000 0.000 0.000
0.001 0.262 0.739
0.190 0.582 0.584
0.261 0.999 0.738
0.262 0.739 0.001
0.416 0.810 0.418
0.418 0.416 0.810
0.582 0.584 0.190
0.584 0.190 0.582
0.738 0.261 0.999
0.739 0.001 0.262
0.810 0.418 0.416
0.999 0.738 0.261
0.159 0.426 0.161
0.161 0.159 0.426
0.426 0.161 0.159
0.574 0.839 0.841
0.839 0.841 0.574
0.841 0.574 0.839
```